Ac6Ni2Pd: relaxed, PBE.

a b c (Å): 7.406 7.406 6.949
angles (deg): 90.00 90.00 120.00
Fractional coordinates of all 9 atoms:
Ac 0.000 0.343 0.241
Ac 0.000 0.657 0.759
Ac 0.343 0.000 0.241
Ac 0.343 0.343 0.759
Ac 0.657 0.000 0.759
Ac 0.657 0.657 0.241
Ni 0.333 0.667 0.000
Ni 0.667 0.333 0.000
Pd 0.000 0.000 0.000

Summary:
V ... 330 Å³/cell
Raw total energy ... -4.86 eV/atom
Space-group type ... P-31m, No. 162

Ac2Ni9Pd: relaxed, PBE.

a b c (Å): 8.757 8.757 8.757
angles (deg): 33.58 33.58 33.58
Fractional coordinates of all 12 atoms:
Ac 0.130 0.130 0.130
Ac 0.870 0.870 0.870
Ni 0.079 0.576 0.576
Ni 0.332 0.332 0.332
Ni 0.424 0.424 0.921
Ni 0.424 0.921 0.424
Ni 0.500 0.500 0.500
Ni 0.576 0.079 0.576
Ni 0.576 0.576 0.079
Ni 0.668 0.668 0.668
Ni 0.921 0.424 0.424
Pd 0.000 0.000 0.000

Summary:
V ... 183 Å³/cell
Raw total energy ... -5.48 eV/atom
Space-group type ... R-3m, No. 166

Ac3Ni3Pd: relaxed, PBE.

a b c (Å): 10.004 10.004 10.004
angles (deg): 155.74 155.38 34.84
Fractional coordinates of all 7 atoms:
Ac 0.000 0.000 0.000
Ac 0.363 0.363 0.000
Ac 0.678 0.178 0.500
Ni 0.108 0.608 0.500
Ni 0.542 0.542 0.000
Ni 0.829 0.829 0.000
Pd 0.244 0.744 0.500

Summary:
V ... 171 Å³/cell
Raw total energy ... -5.37 eV/atom
Space-group type ... Imm2, No. 44